A plane-wave DFT calculation with GGA+U was carried out for an optimized crystal structure of K2BeCoO4.

Computed properties:
- Final energy: -5.361 eV/atom

Unit cell a=4.6689 b=11.5297 c=18.9607 alpha=90.00 beta=90.00 gamma=90.00
Space group Fddd (No. 70, origin choice 2)
One atom of each set of equivalent atoms:
K  0.1250  0.1250  0.3006
Be  0.1250  0.1250  0.1250
Co  0.1250  0.1250  0.6250
O  0.1045  0.2889  0.4162